DFT (PBE-GGA) results for a relaxed structure of AcEr2Cu6.

Structure (POSCAR):
```
AcEr2Cu6
1.0
7.3807 0.0000 0.0000
-3.6903 6.3919 0.0000
0.0000 0.0000 3.7434
Ac Er Cu
1 2 6
Cartesian
0.0000 0.0000 0.0000
0.0000 4.2612 0.0000
3.6903 2.1306 0.0000
-1.2514 2.1674 1.8717
-2.4390 4.2245 1.8717
2.5027 0.0000 1.8717
1.2514 2.1674 1.8717
4.8780 0.0000 1.8717
2.4390 4.2245 1.8717
```

Energy relative to the elements (meV per atom): -207
DOS(E_F) (states/eV per atom): 0.684
Total moment (μB/cell): 0.000
E (Ry/atom): -0.3240


DFT (PBE-GGA) results for a relaxed structure of AcErGa2Cu2.

Structure (POSCAR):
```
AcErGa2Cu2
1.0
4.4531 0.0000 0.0000
-2.2266 3.8565 0.0000
0.0000 0.0000 7.5424
Ac Er Ga Cu
1 1 2 2
Cartesian
0.0000 0.0000 0.0000
0.0000 0.0000 3.7712
0.0000 2.5710 2.2237
2.2266 1.2855 5.3187
0.0000 2.5710 5.2290
2.2266 1.2855 2.3134
```

Energy relative to the elements (meV per atom): -464
DOS(E_F) (states/eV per atom): 0.962
Total moment (μB/cell): 0.000
E (Ry/atom): -0.3148


DFT (PBE-GGA) results for a relaxed structure of AcErCuIr.

Structure (POSCAR):
```
AcErCuIr
1.0
0.0000 3.5925 3.5925
3.5925 0.0000 3.5925
3.5925 3.5925 0.0000
Ac Er Cu Ir
1 1 1 1
Cartesian
0.0000 0.0000 0.0000
3.5925 3.5925 3.5925
5.3887 5.3887 5.3887
1.7962 1.7962 1.7962
```

Energy relative to the elements (meV per atom): -382
DOS(E_F) (states/eV per atom): 0.838
Total moment (μB/cell): 0.000
E (Ry/atom): -0.4255


DFT (PBE-GGA) results for a relaxed structure of LiAcErCu.

Structure (POSCAR):
```
LiAcErCu
1.0
0.0000 3.7262 3.7262
3.7262 0.0000 3.7262
3.7262 3.7262 0.0000
Li Ac Er Cu
1 1 1 1
Cartesian
0.0000 0.0000 0.0000
1.8631 1.8631 1.8631
5.5894 5.5894 5.5894
3.7262 3.7262 3.7262
```

Energy relative to the elements (meV per atom): 46
DOS(E_F) (states/eV per atom): 1.175
Total moment (μB/cell): 0.000
E (Ry/atom): -0.2664


DFT (PBE-GGA) results for a relaxed structure of AcErMgCu.

Structure (POSCAR):
```
AcErMgCu
1.0
0.0000 3.7949 3.7949
3.7949 0.0000 3.7949
3.7949 3.7949 0.0000
Ac Er Mg Cu
1 1 1 1
Cartesian
0.0000 0.0000 0.0000
3.7949 3.7949 3.7949
1.8975 1.8975 1.8975
5.6924 5.6924 5.6924
```

Energy relative to the elements (meV per atom): 12
DOS(E_F) (states/eV per atom): 0.927
Total moment (μB/cell): 0.000
E (Ry/atom): -0.2630


DFT (PBE-GGA) results for a relaxed structure of Ac2ErCuO6.

Structure (POSCAR):
```
Ac2ErCuO6
1.0
5.7637 0.0000 0.0000
0.0000 8.2434 0.0000
0.0000 0.0000 5.9666
Ac Er Cu O
4 2 2 12
Cartesian
1.4409 0.1085 1.3142
1.4409 4.0132 1.3142
4.3228 4.2302 4.6524
4.3228 8.1349 4.6524
1.4409 2.0609 4.3325
4.3228 6.1826 1.6341
1.4409 6.1826 4.5596
4.3228 2.0609 1.4070
0.0047 6.1826 3.2073
0.0324 6.1826 0.0148
1.4409 4.1953 4.6876
1.4409 8.1698 4.6876
2.8494 6.1826 0.0148
2.8772 6.1826 3.2073
2.8865 2.0609 2.7593
2.9143 2.0609 5.9518
4.3228 0.0736 1.2789
4.3228 4.0481 1.2789
5.7313 2.0609 5.9518
5.7590 2.0609 2.7593
```

ΔE_f (raw) (eV/atom): -2.56
DOS(E_F) (states/eV per atom): 0.129
Total moment (μB/cell): 3.796
E (Ry/atom): -0.5312


DFT (PBE-GGA) results for a relaxed structure of Ac3ErCu2O9.

Structure (POSCAR):
```
Ac3ErCu2O9
1.0
5.7149 0.0000 0.0000
-2.8574 4.9492 0.0000
0.0000 0.0000 7.1242
Ac Er Cu O
3 1 2 9
Cartesian
0.0000 0.0000 0.0000
0.0000 3.2995 4.9641
2.8574 1.6497 2.1601
0.0000 0.0000 3.5621
0.0000 3.2995 1.1540
2.8574 1.6497 5.9701
-1.4287 2.4746 0.0000
0.0000 1.6908 2.2464
-1.3932 4.1038 2.2464
1.4643 0.8454 4.8778
2.8574 0.0000 0.0000
1.4287 2.4746 0.0000
1.3932 4.1038 2.2464
4.2506 0.8454 4.8778
2.8574 3.2584 4.8778
```

ΔE_f (raw) (eV/atom): -2.39
DOS(E_F) (states/eV per atom): 0.293
Total moment (μB/cell): 0.000
E (Ry/atom): -0.5170


DFT (PBE-GGA) results for a relaxed structure of AcErCuOs.

Structure (POSCAR):
```
AcErCuOs
1.0
0.0000 3.5662 3.5662
3.5662 0.0000 3.5662
3.5662 3.5662 0.0000
Ac Er Cu Os
1 1 1 1
Cartesian
0.0000 0.0000 0.0000
3.5662 3.5662 3.5662
5.3493 5.3493 5.3493
1.7831 1.7831 1.7831
```

Energy relative to the elements (meV per atom): -38
DOS(E_F) (states/eV per atom): 0.665
Total moment (μB/cell): 0.000
E (Ry/atom): -0.4437


Among the records above, which one has the highest E?
AcErMgCu


Please write out number 6 again, unchanged.
DFT (PBE-GGA) results for a relaxed structure of Ac2ErCuO6.

Structure (POSCAR):
```
Ac2ErCuO6
1.0
5.7637 0.0000 0.0000
0.0000 8.2434 0.0000
0.0000 0.0000 5.9666
Ac Er Cu O
4 2 2 12
Cartesian
1.4409 0.1085 1.3142
1.4409 4.0132 1.3142
4.3228 4.2302 4.6524
4.3228 8.1349 4.6524
1.4409 2.0609 4.3325
4.3228 6.1826 1.6341
1.4409 6.1826 4.5596
4.3228 2.0609 1.4070
0.0047 6.1826 3.2073
0.0324 6.1826 0.0148
1.4409 4.1953 4.6876
1.4409 8.1698 4.6876
2.8494 6.1826 0.0148
2.8772 6.1826 3.2073
2.8865 2.0609 2.7593
2.9143 2.0609 5.9518
4.3228 0.0736 1.2789
4.3228 4.0481 1.2789
5.7313 2.0609 5.9518
5.7590 2.0609 2.7593
```

ΔE_f (raw) (eV/atom): -2.56
DOS(E_F) (states/eV per atom): 0.129
Total moment (μB/cell): 3.796
E (Ry/atom): -0.5312


The highest total moment belongs to which entry?
Ac2ErCuO6


DOS(E_F) of number 2 (AcErGa2Cu2)?
0.962 states/eV per atom